The following is a DFT calculation (PBE) of a geometry-optimized SiGeRh structure.

a = 4.0564 Å, b = 4.0564 Å, c = 6.0016 Å
α = 90.00°, β = 90.00°, γ = 90.00°
Sites, in units of the cell vectors:
Ge  0.0000  0.0000  0.5000
Ge  0.5000  0.5000  0.5000
Rh  0.0000  0.5000  0.2231
Rh  0.5000  0.0000  0.7769
Si  0.0000  0.0000  0.0000
Si  0.5000  0.5000  0.0000

Results
Its electronic total energy is -6.22 eV/atom. The value obtained for the relative energy among the computed polymorphs is 0 meV per atom. Its space-group type is P4/nmm. The size of the total moment is 0.00 μB per formula unit. The calculation puts the formation energy (no corrections) at -418 meV per atom.